[1]
The following is a DFT calculation (PBE) of a geometry-optimized P2HPd structure.

abc: 4.1507 4.1507 12.4757
angles: 90.00 90.00 90.00
Space group I-42d (No. 122)
Symmetry-distinct sites (fractional):
P 0.1388 0.2500 0.1250 x8
H 0.0000 0.0000 0.0000 x4
Pd 0.0000 0.0000 0.5000 x4

Crystal system = tetragonal
Offset from the most stable computed form = 0 meV/atom

[2]
The following is a DFT calculation (PBE) of a geometry-optimized PH2Pd4 structure.

abc: 9.8637 11.0828 6.1366
angles: 90.00 90.00 90.00
Space group Fdd2 (No. 43)
Symmetry-distinct sites (fractional):
P 0.0000 0.0000 0.0000 x8
H 0.0926 0.1558 0.6146 x16
Pd 0.0846 0.3903 0.1493 x16
Pd 0.1233 0.3230 0.5791 x16

Crystal system = orthorhombic
Raw total energy = -0.1816 hartree per atom

[3]
The following is a DFT calculation (PBE) of a geometry-optimized PH2Pd8 structure.

abc: 5.0311 5.6937 5.8781
angles: 62.13 85.18 89.36
Space group P-1 (No. 2)
Symmetry-distinct sites (fractional):
P 0.0000 0.0000 0.0000 x1
H 0.2791 0.7744 0.4631 x2
Pd 0.1782 0.6106 0.2696 x2
Pd 0.1800 0.1271 0.2665 x2
Pd 0.3181 0.6059 0.7910 x2
Pd 0.3499 0.1489 0.7063 x2

Crystal system = triclinic
Offset from the most stable computed form = 0 meV/atom

[4]
The following is a DFT calculation (PBE) of a geometry-optimized PH2Pd8 structure.

abc: 13.0283 4.5282 5.0999
angles: 90.00 109.06 90.00
Space group C2/m (No. 12)
Symmetry-distinct sites (fractional):
P 0.0000 0.0000 0.0000 x2
H 0.1731 0.5000 0.6919 x4
Pd 0.0522 0.5000 0.7966 x4
Pd 0.0955 0.0000 0.4663 x4
Pd 0.1833 0.5000 0.3565 x4
Pd 0.1911 0.0000 0.0331 x4

Crystal system = monoclinic
Offset from the most stable computed form = 18 meV/atom

[5]
The following is a DFT calculation (PBE) of a geometry-optimized PmPH2Pd2 structure.

abc: 5.1430 5.5746 5.9198
angles: 90.00 96.97 90.00
Space group P2_1/m (No. 11)
Symmetry-distinct sites (fractional):
Pm 0.2104 0.2500 0.1403 x2
P 0.1252 0.7500 0.3003 x2
H 0.3001 0.7500 0.8336 x2
H 0.4171 0.2500 0.7870 x2
Pd 0.2668 0.0017 0.6298 x4

Crystal system = monoclinic
Raw total energy = -0.1873 hartree per atom

[6]
The following is a DFT calculation (PBE) of a geometry-optimized PrPHPd2 structure.

abc: 4.0241 10.6572 7.2842
angles: 90.00 90.00 90.00
Space group Cmcm (No. 63)
Symmetry-distinct sites (fractional):
Pr 0.0000 0.0581 0.2500 x4
P 0.0000 0.2247 0.7500 x4
H 0.0000 0.5000 0.0000 x4
Pd 0.0000 0.3371 0.0575 x8

Crystal system = orthorhombic
Raw total energy = -0.2060 hartree per atom